The following is a DFT calculation (PBE) of crystalline CeTh4Tl5 at its relaxed geometry.

Cell lengths 3.934, 3.934, 19.291 Å; angles 90.00, 90.00, 90.00 degrees
Space group P4/mmm (No. 123)
Inequivalent atoms, fractional coordinates:
1 Ce 0.000 0.000 0.000 (multiplicity 1)
2 Th 0.000 0.000 0.201 (multiplicity 2)
3 Th 0.000 0.000 0.400 (multiplicity 2)
4 Tl 0.500 0.500 0.099 (multiplicity 2)
5 Tl 0.500 0.500 0.300 (multiplicity 2)
6 Tl 0.500 0.500 0.500 (multiplicity 1)

## Properties
DOS(E_F) in states/eV/f.u.: 18.6
ΔH_f (0 K) in meV per atom: -80.0
Total DFT energy (no corrections) in eV/atom: -4.824
Calculated volume in Å³ per cell: 298.6